Record 1
Crystalline NaSn at its relaxed geometry. Source: the Alexandria database, functional PBE.

a = 9.7509 Å, b = 9.7509 Å, c = 4.7581 Å
α = 90.00°, β = 90.00°, γ = 120.00°
Space group P6_3/mmc (No. 194)
Inequivalent atoms, fractional coordinates:
Na (0.1704, 0.3409, 0.2500)
Sn (0.1155, 0.5578, 0.7500)

Summary:
- crystal system = hexagonal
- formation enthalpy at 0 K (eV/atom) = -0.10
- uncorrected energy (Ry/atom) = -0.2031

Record 2
Crystalline Tl3Bi2Pd at its relaxed geometry. Source: the Alexandria database, functional PBE.

a = 9.083 Å, b = 11.245 Å, c = 6.952 Å
α = 90.00°, β = 90.00°, γ = 90.00°
Space group Cmcm (No. 63)
Inequivalent atoms, fractional coordinates:
Tl (0.000, 0.101, 0.250)
Tl (0.177, 0.238, 0.750)
Bi (0.185, 0.500, 0.000)
Pd (0.000, 0.362, 0.250)

Summary:
- crystal system = orthorhombic
- formation enthalpy at 0 K (eV/atom) = -0.04
- uncorrected energy (Ry/atom) = -0.2486

Record 3
Crystalline ZrCdCl2 at its relaxed geometry. Source: the Alexandria database, functional PBE.

a = 8.019 Å, b = 8.019 Å, c = 6.395 Å
α = 90.00°, β = 90.00°, γ = 90.00°
Space group I-42d (No. 122)
Inequivalent atoms, fractional coordinates:
Zr (0.000, 0.000, 0.000)
Cd (0.000, 0.000, 0.500)
Cl (0.167, 0.750, 0.125)

Summary:
- energy relative to the elements, uncorrected (meV per atom) = -614
- distance to the lowest polymorph of the same formula (meV/atom) = 458.3
- crystal system = tetragonal
- uncorrected energy (Ry/atom) = -0.2869

Record 4
Crystalline OsRhPb at its relaxed geometry. Source: the Alexandria database, functional PBE.

a = 4.255 Å, b = 4.248 Å, c = 6.290 Å
α = 90.00°, β = 101.18°, γ = 90.00°
Space group Cm (No. 8)
Inequivalent atoms, fractional coordinates:
Os (0.000, 0.000, 0.000)
Rh (0.072, 0.500, 0.244)
Pb (0.315, 0.000, 0.633)

Summary:
- distance to the lowest polymorph of the same formula (meV/atom) = 145.6
- crystal system = monoclinic
- formation enthalpy at 0 K (eV/atom) = 0.60
- uncorrected energy (Ry/atom) = -0.5017

Record 5
Crystalline Sr3Pr2DyTe6 at its relaxed geometry. Source: the Alexandria database, functional PBE.

a = 7.893 Å, b = 13.650 Å, c = 8.071 Å
α = 90.00°, β = 109.04°, γ = 90.00°
Space group C2/m (No. 12)
Inequivalent atoms, fractional coordinates:
Sr (0.000, 0.000, 0.000)
Sr (0.000, 0.330, 0.000)
Pr (0.000, 0.165, 0.500)
Dy (0.000, 0.500, 0.500)
Te (0.241, 0.338, 0.738)
Te (0.243, 0.500, 0.259)

Summary:
- energy relative to the elements, uncorrected (meV per atom) = -1538
- crystal system = monoclinic
- uncorrected energy (Ry/atom) = -0.3461

Record 6
Crystalline RbAc2Se6S2 at its relaxed geometry. Source: the Alexandria database, functional PBE.

a = 4.776 Å, b = 8.832 Å, c = 9.158 Å
α = 112.04°, β = 90.27°, γ = 90.03°
Space group P-1 (No. 2)
Inequivalent atoms, fractional coordinates:
Rb (0.000, 0.000, 0.000)
Ac (0.333, 0.303, 0.658)
Se (0.123, 0.451, 0.375)
Se (0.151, 0.962, 0.382)
Se (0.243, 0.606, 0.048)
S (0.478, 0.182, 0.906)

Summary:
- energy relative to the elements, uncorrected (meV per atom) = -1020
- crystal system = triclinic
- uncorrected energy (Ry/atom) = -0.3312

Record 7
Crystalline ScCl at its relaxed geometry. Source: the Alexandria database, functional PBE.

a = 3.4932 Å, b = 3.4932 Å, c = 28.4692 Å
α = 90.00°, β = 90.00°, γ = 120.00°
Space group R-3m (No. 166, hexagonal axes)
Inequivalent atoms, fractional coordinates:
Sc (0.0000, 0.0000, 0.1223)
Cl (0.0000, 0.0000, 0.3982)

Summary:
- energy relative to the elements, uncorrected (meV per atom) = -1425
- crystal system = trigonal
- uncorrected energy (Ry/atom) = -0.4053

Record 8
Crystalline BaScTa2 at its relaxed geometry. Source: the Alexandria database, functional PBE.

a = 3.735 Å, b = 4.778 Å, c = 5.158 Å
α = 90.00°, β = 90.00°, γ = 90.00°
Space group Pmmm (No. 47)
Inequivalent atoms, fractional coordinates:
Ba (0.000, 0.000, 0.000)
Sc (0.500, 0.500, 0.000)
Ta (0.000, 0.500, 0.500)
Ta (0.500, 0.000, 0.500)

Summary:
- distance to the lowest polymorph of the same formula (meV/atom) = 554.7
- crystal system = orthorhombic
- formation enthalpy at 0 K (eV/atom) = 0.99
- uncorrected energy (Ry/atom) = -0.5148

Record 9
Crystalline CaZn12Au6 at its relaxed geometry. Source: the Alexandria database, functional PBE.

a = 11.6025 Å, b = 11.6025 Å, c = 8.8974 Å
α = 90.00°, β = 90.00°, γ = 120.00°
Space group R-3m (No. 166, hexagonal axes)
Inequivalent atoms, fractional coordinates:
Ca (0.0000, 0.0000, 0.0000)
Zn (0.0000, 0.3913, 0.5000)
Zn (0.0829, 0.1657, 0.3031)
Au (0.0480, 0.5240, 0.2402)

Summary:
- crystal system = trigonal
- formation enthalpy at 0 K (eV/atom) = -0.21
- uncorrected energy (Ry/atom) = -0.1583

Record 10
Crystalline Y4Sc at its relaxed geometry. Source: the Alexandria database, functional PBE.

a = 7.843 Å, b = 7.843 Å, c = 4.978 Å
α = 90.00°, β = 90.00°, γ = 90.00°
Space group I4/m (No. 87)
Inequivalent atoms, fractional coordinates:
Y (0.103, 0.299, 0.000)
Sc (0.000, 0.000, 0.500)

Summary:
- distance to the lowest polymorph of the same formula (meV/atom) = 4.1
- crystal system = tetragonal
- formation enthalpy at 0 K (eV/atom) = 0.05
- uncorrected energy (Ry/atom) = -0.4697

Record 11
Crystalline KI2Br6 at its relaxed geometry. Source: the Alexandria database, functional PBE.

a = 12.843 Å, b = 15.690 Å, c = 9.097 Å
α = 90.00°, β = 115.23°, γ = 90.00°
Space group C2/c (No. 15)
Inequivalent atoms, fractional coordinates:
K (0.000, 0.147, 0.250)
I (0.159, 0.435, 0.164)
Br (0.103, 0.398, 0.602)
Br (0.109, 0.018, 0.602)
Br (0.204, 0.269, 0.215)

Summary:
- energy relative to the elements, uncorrected (meV per atom) = -390
- distance to the lowest polymorph of the same formula (meV/atom) = 0.0
- crystal system = monoclinic
- uncorrected energy (Ry/atom) = -0.1449

Record 12
Crystalline CaRh at its relaxed geometry. Source: the Alexandria database, functional PBE.

a = 3.198 Å, b = 12.818 Å, c = 6.519 Å
α = 90.00°, β = 90.00°, γ = 90.00°
Space group Imm2 (No. 44)
Inequivalent atoms, fractional coordinates:
Ca (0.000, 0.000, 0.000)
Ca (0.000, 0.294, 0.817)
Rh (0.000, 0.000, 0.449)
Rh (0.000, 0.390, 0.200)

Summary:
- crystal system = orthorhombic
- formation enthalpy at 0 K (eV/atom) = -0.14
- uncorrected energy (Ry/atom) = -0.3537

Record 13
Crystalline TmAl3Au at its relaxed geometry. Source: the Alexandria database, functional PBE.

a = 7.420 Å, b = 11.028 Å, c = 9.343 Å
α = 90.00°, β = 90.00°, γ = 90.00°
Space group Cmcm (No. 63)
Inequivalent atoms, fractional coordinates:
Tm (0.000, 0.125, 0.250)
Tm (0.000, 0.360, 0.750)
Al (0.000, 0.107, 0.589)
Al (0.186, 0.375, 0.250)
Al (0.186, 0.500, 0.000)
Au (0.250, 0.250, 0.000)

Summary:
- distance to the lowest polymorph of the same formula (meV/atom) = 95.2
- crystal system = orthorhombic
- formation enthalpy at 0 K (eV/atom) = -0.45
- uncorrected energy (Ry/atom) = -0.3117

Record 14
Crystalline Gd2LuOs at its relaxed geometry. Source: the Alexandria database, functional PBE.

a = 3.399 Å, b = 3.399 Å, c = 9.313 Å
α = 90.00°, β = 90.00°, γ = 90.00°
Space group P4/mmm (No. 123)
Inequivalent atoms, fractional coordinates:
Gd (0.000, 0.000, 0.182)
Lu (0.500, 0.500, 0.500)
Os (0.500, 0.500, 0.000)

Summary:
- distance to the lowest polymorph of the same formula (meV/atom) = 0.0
- crystal system = tetragonal
- formation enthalpy at 0 K (eV/atom) = -0.03
- uncorrected energy (Ry/atom) = -0.8092

Record 15
Crystalline HfTi7Sb2H2 at its relaxed geometry. Source: the Alexandria database, functional PBE.

a = 5.610 Å, b = 5.607 Å, c = 12.393 Å
α = 90.00°, β = 102.34°, γ = 90.00°
Space group C2/m (No. 12)
Inequivalent atoms, fractional coordinates:
Hf (0.000, 0.000, 0.000)
Ti (0.000, 0.500, 0.000)
Ti (0.159, 0.251, 0.809)
Ti (0.190, 0.500, 0.410)
Sb (0.171, 0.000, 0.363)
H (0.079, 0.500, 0.166)

Summary:
- crystal system = monoclinic
- uncorrected energy (Ry/atom) = -0.5150

| no. | magnetization (μB per cell) | Fermi-level density of states (states/eV per cell) |
| --- | --- | --- |
| 1 | 0.0 | 5.89 |
| 2 | 0.0 | 12.91 |
| 3 | 5.4 | 14.73 |
| 4 | 0.0 | 6.85 |
| 5 | 0.0 | 10.64 |
| 6 | 0.0 | 2.43 |
| 7 | 4.6 | 15.16 |
| 8 | 0.0 | 4.72 |
| 9 | 0.0 | 10.24 |
| 10 | 0.0 | 16.50 |
| 11 | 0.0 | 10.75 |
| 12 | 0.0 | 11.00 |
| 13 | 0.0 | 13.34 |
| 14 | 14.4 | 4.72 |
| 15 | 0.0 | 26.66 |